Entry 1:
The following is a GGA-PBE calculation of a relaxed Sc5AlOs4 crystal, from Alexandria via LeMat-Bulk.

Calculated values
Raw total energy in eV/f.u.: -84.408
Total magnetization in μB per atom: 0.00
Energy of formation in kcal/mol of atoms: -9.43
Space group: P4/mmm

a = 3.259 Å, b = 3.259 Å, c = 16.188 Å
α = 90.00°, β = 90.00°, γ = 90.00°
Sites, in units of the cell vectors:
1 Sc 0.500 0.500 0.112
2 Sc 0.500 0.500 0.304
3 Sc 0.500 0.500 0.500
4 Sc 0.500 0.500 0.696
5 Sc 0.500 0.500 0.888
6 Al 0.000 0.000 0.000
7 Os 0.000 0.000 0.201
8 Os 0.000 0.000 0.401
9 Os 0.000 0.000 0.599
10 Os 0.000 0.000 0.799


Entry 2:
The following is a GGA-PBE calculation of a relaxed Sm2NpSe3 crystal, from Alexandria via LeMat-Bulk.

Calculated values
Raw total energy in eV/f.u.: -42.303
Total magnetization in μB per atom: 0.78
ΔE_f (raw) in eV per atom: -1.578
Space group: I4/mmm

a = 4.147 Å, b = 4.147 Å, c = 9.297 Å
α = 102.89°, β = 102.89°, γ = 89.98°
Each line ends with the local moment (μB).
Sites, in units of the cell vectors:
1 Sm 0.100 0.101 0.206  0.04
2 Sm 0.768 0.770 0.542  0.04
3 Np 0.434 0.436 0.874  4.16
4 Se 0.934 0.936 0.874  -0.07
5 Se 0.268 0.269 0.541  -0.01
6 Se 0.601 0.602 0.207  -0.01